1.
NaRhCl3 | the Alexandria database | GGA-PBEsol | optimized geometry; distance to the lowest polymorph of the same formula = 1091 meV/atom; E_form (uncorrected) = 0.278 eV per atom; N(E_F) = 5.67 states/eV per cell
1.0
-1.7695 -1.8310 -4.1321
-4.0567 -1.3129 2.3190
-1.9926 4.2990 -1.0517
Na Rh Cl
1 1 3
Direct
0.0000 0.0000 0.0000
0.5000 0.5000 0.5000
0.0000 0.5000 0.0000
0.0000 0.0000 0.5000
0.5000 0.0000 0.0000

=====

2.
AlCuCl | the Alexandria database | GGA-PBEsol | optimized geometry; distance to the lowest polymorph of the same formula = 35 meV/atom; E_form (uncorrected) = -0.049 eV per atom; N(E_F) = 0.73 states/eV per cell
1.0
-1.4178 -2.8284 -0.0702
3.1434 -0.0366 -0.3637
-0.2344 0.9816 5.6938
Al Cu Cl
1 1 1
Direct
0.9888 0.9888 0.9776
0.3378 0.3378 0.6757
0.6734 0.6734 0.3468

=====

3.
SbMo3As | the Alexandria database | GGA-PBEsol | optimized geometry; E_form (uncorrected) = 1.073 eV per atom; N(E_F) = 6.65 states/eV per cell
1.0
4.5838 0.0000 0.0000
0.0000 4.5838 0.0000
0.0000 0.0000 4.5838
Sb Mo As
1 3 1
Direct
0.5000 0.5000 0.5000
0.0000 0.5000 0.0000
0.0000 0.0000 0.5000
0.5000 0.0000 0.0000
0.0000 0.0000 0.0000

=====

Summary of energy in eV per atom
-2.83, -3.53, -7.92
(order as listed above)